[1]
# YPu2Tl3S6 PBE relaxed
data_YPu2Tl3S6
_chemical_formula_sum 'Y2 Pu4 Tl6 S12'
_cell_length_a 7.0476
_cell_length_b 12.2045
_cell_length_c 7.8405
_cell_angle_alpha 90.00
_cell_angle_beta 107.41
_cell_angle_gamma 90.00
_symmetry_space_group_name_H-M 'C 1 2/m 1'
_symmetry_Int_Tables_number 12
_symmetry_space_group_name_Hall '-C 2y'
loop_
_atom_site_label
_atom_site_type_symbol
_atom_site_fract_x
_atom_site_fract_y
_atom_site_fract_z
Y1 Y 0.0000 0.0000 0.0000
Pu1 Pu 0.0000 0.3334 0.0000
Tl1 Tl 0.0000 0.1673 0.5000
Tl2 Tl 0.0000 0.5000 0.5000
S1 S 0.2321 0.1667 0.1963
S2 S 0.2321 0.5000 0.1967
# V = 26.81 A^3/atom
# ΔE_f (raw) = -1.298 eV per atom
# Fermi-level density of states = 35.02 states/eV/cell

---

[2]
# BiSeCl PBE relaxed
data_BiSeCl
_chemical_formula_sum 'Bi4 Se4 Cl4'
_cell_length_a 13.8269
_cell_length_b 4.1290
_cell_length_c 7.7166
_cell_angle_alpha 90.00
_cell_angle_beta 107.26
_cell_angle_gamma 90.00
_symmetry_space_group_name_H-M 'C 1 m 1'
_symmetry_Int_Tables_number 8
_symmetry_space_group_name_Hall 'C -2y'
loop_
_atom_site_label
_atom_site_type_symbol
_atom_site_fract_x
_atom_site_fract_y
_atom_site_fract_z
Bi1 Bi 0.0000 0.0000 0.0000
Bi2 Bi 0.2299 0.0000 0.7311
Se1 Se 0.1151 0.5000 0.8186
Se2 Se 0.3786 0.0000 0.0786
Cl1 Cl 0.1235 0.0000 0.3308
Cl2 Cl 0.3600 0.5000 0.6396
# V = 35.06 A^3/atom
# ΔE_f (raw) = -0.617 eV per atom

---

[3]
# Mg2TaAs PBE relaxed
data_Mg2TaAs
_chemical_formula_sum 'Mg2 Ta1 As1'
_cell_length_a 4.9060
_cell_length_b 3.0402
_cell_length_c 5.2908
_cell_angle_alpha 90.00
_cell_angle_beta 110.39
_cell_angle_gamma 90.00
_symmetry_space_group_name_H-M 'P 1 2/m 1'
_symmetry_Int_Tables_number 10
_symmetry_space_group_name_Hall '-P 2y'
loop_
_atom_site_label
_atom_site_type_symbol
_atom_site_fract_x
_atom_site_fract_y
_atom_site_fract_z
Mg1 Mg 0.0000 0.0000 0.0000
Mg2 Mg 0.5000 0.5000 0.0000
Ta1 Ta 0.0000 0.5000 0.5000
As1 As 0.5000 0.0000 0.5000
# V = 18.49 A^3/atom
# Fermi-level density of states = 3.72 states/eV/cell
# Formation enthalpy at 0 K = 65 kJ/mol of formula units

---

[4]
# MnAlV4 PBE relaxed
data_MnAlV4
_chemical_formula_sum 'Mn2 Al2 V8'
_cell_length_a 8.8656
_cell_length_b 4.2335
_cell_length_c 5.1140
_cell_angle_alpha 90.00
_cell_angle_beta 124.87
_cell_angle_gamma 90.00
_symmetry_space_group_name_H-M 'C 1 2/m 1'
_symmetry_Int_Tables_number 12
_symmetry_space_group_name_Hall '-C 2y'
loop_
_atom_site_label
_atom_site_type_symbol
_atom_site_fract_x
_atom_site_fract_y
_atom_site_fract_z
Mn1 Mn 0.0000 0.0000 0.0000
Al1 Al 0.0000 0.0000 0.5000
V1 V 0.1548 0.5000 0.3284
V2 V 0.1861 0.5000 0.8532
# V = 13.12 A^3/atom
# Relative energy among the computed polymorphs = 0 meV/atom
# Fermi-level density of states = 14.69 states/eV/cell
# Formation enthalpy at 0 K = -80 kJ/mol of formula units